(1)
A relaxed ZnNi2Rh crystal. Source: Alexandria via LeMat-Bulk, functional PBE.

Properties
Raw total energy (Ry/atom): -0.367
Crystal system: orthorhombic
Theoretical density (g/cm3): 9.3

a b c (Å): 2.5992 2.5992 8.3897
angles (deg): 90.00 90.00 115.95
Last column: nearest neighbours and their distance in Å.
Positions (direct):
1 Zn 0.0000 0.0000 0.0000  2 Ni 2.47, 6 Zn 2.60-2.76, 2 Rh 2.60
2 Ni 0.0000 0.0000 0.4804  6 Ni 2.41-2.60, 2 Rh 2.56
3 Ni 0.5000 0.5000 0.2441  6 Ni 2.41-2.60, 2 Zn 2.47
4 Rh 0.5000 0.5000 0.7369  2 Ni 2.56, 6 Rh 2.60-2.76, 2 Zn 2.60

(2)
A relaxed Pm3Ho2Th4 crystal. Source: Alexandria via LeMat-Bulk, functional PBE.

Properties
Raw total energy (Ry/atom): -0.430
Crystal system: monoclinic
Theoretical density (g/cm3): 9.5

a b c (Å): 8.0134 8.0134 8.0664
angles (deg): 107.68 107.68 36.94
Last column: nearest neighbours and their distance in Å.
Positions (direct):
1 Pm 0.0000 0.0000 0.0000  6 Th 3.59-3.61, 4 Ho 3.59, 2 Pm 3.64
2 Pm 0.1161 0.1161 0.6692  6 Th 3.48-3.60, 4 Ho 3.61-3.69, 2 Pm 3.64-3.71
3 Pm 0.8839 0.8839 0.3308  6 Th 3.48-3.60, 4 Ho 3.61-3.69, 2 Pm 3.64-3.71
4 Ho 0.4395 0.4395 0.6673  5 Th 3.52-3.67, 6 Pm 3.59-3.69, 1 Ho 3.72
5 Ho 0.5605 0.5605 0.3327  5 Th 3.52-3.67, 6 Pm 3.59-3.69, 1 Ho 3.72
6 Th 0.2234 0.2234 0.3325  3 Ho 3.52-3.55, 4 Pm 3.52-3.59, 5 Th 3.57-3.61
7 Th 0.3308 0.3308 0.9963  5 Pm 3.48-3.61, 2 Ho 3.55-3.67, 5 Th 3.55-3.59
8 Th 0.6692 0.6692 0.0037  5 Pm 3.48-3.61, 2 Ho 3.55-3.67, 5 Th 3.55-3.59
9 Th 0.7766 0.7766 0.6675  3 Ho 3.52-3.55, 4 Pm 3.52-3.59, 5 Th 3.57-3.61

(3)
A relaxed Ir2Pt3Rh3 crystal. Source: Alexandria via LeMat-Bulk, functional PBE.

Properties
Raw total energy (Ry/atom): -0.532
Crystal system: monoclinic
Theoretical density (g/cm3): 17.9

a b c (Å): 8.2921 8.2921 3.8908
angles (deg): 103.55 103.55 141.27
Last column: nearest neighbours and their distance in Å.
Positions (direct):
1 Ir 0.2498 0.7502 0.0000  4 Rh 2.72, 4 Pt 2.74, 4 Ir 2.75
2 Ir 0.7502 0.2498 0.0000  4 Rh 2.72, 4 Pt 2.74, 4 Ir 2.75
3 Pt 0.0000 0.0000 0.0000  8 Rh 2.75-2.80, 4 Pt 2.78
4 Pt 0.3732 0.6268 0.5000  4 Ir 2.74, 6 Rh 2.75-2.78, 2 Pt 2.78
5 Pt 0.6268 0.3732 0.5000  4 Ir 2.74, 6 Rh 2.75-2.78, 2 Pt 2.78
6 Rh 0.1287 0.8713 0.5000  4 Ir 2.72, 6 Pt 2.75-2.80, 2 Rh 2.80
7 Rh 0.5000 0.5000 0.0000  8 Pt 2.75-2.78, 4 Rh 2.80
8 Rh 0.8713 0.1287 0.5000  4 Ir 2.72, 6 Pt 2.75-2.80, 2 Rh 2.80

(4)
A relaxed Hg2TeI2 crystal. Source: Alexandria via LeMat-Bulk, functional PBE.

Properties
Energy above the lowest structure with this stoichiometry (meV/atom): 249
Raw total energy (Ry/atom): -0.096
Formation energy without anion corrections (eV/f.u.): 0.34
Crystal system: tetragonal
Theoretical density (g/cm3): 6.3

a b c (Å): 8.4414 8.4414 5.8274
angles (deg): 90.00 90.00 90.00
Last column: nearest neighbours and their distance in Å.
Positions (direct):
1 Hg 0.2201 0.2799 0.0000  2 I 2.93, 2 Te 3.01
2 Hg 0.2799 0.7799 0.0000  2 I 2.93, 2 Te 3.01
3 Hg 0.7201 0.2201 0.0000  2 I 2.93, 2 Te 3.01
4 Hg 0.7799 0.7201 0.0000  2 I 2.93, 2 Te 3.01
5 Te 0.0000 0.0000 0.0000  4 Hg 3.01
6 Te 0.5000 0.5000 0.0000  4 Hg 3.01
7 I 0.1965 0.3035 0.5000  2 Hg 2.93
8 I 0.3035 0.8035 0.5000  2 Hg 2.93
9 I 0.6965 0.1965 0.5000  2 Hg 2.93
10 I 0.8035 0.6965 0.5000  2 Hg 2.93

(5)
A relaxed MoIr2Os crystal. Source: Alexandria via LeMat-Bulk, functional PBE.

Properties
Energy above the lowest structure with this stoichiometry (meV/atom): 1245
Raw total energy (Ry/atom): -0.656
Crystal system: tetragonal
Theoretical density (g/cm3): 12.7

a b c (Å): 7.0390 7.0390 7.0390
angles (deg): 134.32 134.32 66.59
Last column: nearest neighbours and their distance in Å.
Positions (direct):
1 Mo 0.0000 0.0000 0.0000  4 Ir 2.45
2 Mo 0.7500 0.2500 0.5000  4 Ir 2.45
3 Ir 0.1336 0.6250 0.0086  2 Os 2.40, 2 Mo 2.45
4 Ir 0.3750 0.3836 0.5086  2 Os 2.40, 2 Mo 2.45
5 Ir 0.6164 0.1250 0.9914  2 Os 2.40, 2 Mo 2.45
6 Ir 0.8750 0.8664 0.4914  2 Os 2.40, 2 Mo 2.45
7 Os 0.2500 0.7500 0.5000  4 Ir 2.40
8 Os 0.5000 0.5000 0.0000  4 Ir 2.40

(6)
A relaxed Li2MgSi crystal. Source: Alexandria via LeMat-Bulk, functional PBE.

Properties
Raw total energy (Ry/atom): -0.205
Formation energy without anion corrections (eV/f.u.): -0.34
Crystal system: monoclinic
Theoretical density (g/cm3): 1.6

a b c (Å): 2.8787 4.4370 5.4306
angles (deg): 90.00 103.10 90.00
Last column: nearest neighbours and their distance in Å.
Positions (direct):
1 Li 0.2163 0.0000 0.2821  1 Li 2.55, 2 Si 2.65
2 Li 0.7837 0.0000 0.7179  1 Li 2.55, 2 Si 2.65
3 Mg 0.5000 0.5000 0.0000  2 Si 2.77, 2 Mg 2.88, 4 Li 2.92
4 Si 0.0000 0.5000 0.5000  4 Li 2.65, 2 Mg 2.77, 2 Si 2.88

(7)
A relaxed Nd4CdIr crystal. Source: Alexandria via LeMat-Bulk, functional PBE.

Properties
Energy above the lowest structure with this stoichiometry (meV/atom): 0
Raw total energy (Ry/atom): -0.386
Crystal system: cubic
Theoretical density (g/cm3): 8.4

a b c (Å): 9.9576 9.9576 9.9576
angles (deg): 60.00 60.00 60.00
Last column: nearest neighbours and their distance in Å.
Positions (direct):
1 Nd 0.1890 0.1890 0.8110  2 Cd 3.40, 2 Ir 3.58, 10 Nd 3.58-3.76
2 Nd 0.1890 0.8110 0.1890  2 Cd 3.40, 2 Ir 3.58, 10 Nd 3.58-3.76
3 Nd 0.1890 0.8110 0.8110  2 Cd 3.40, 2 Ir 3.58, 10 Nd 3.58-3.76
4 Nd 0.4014 0.4014 0.4014  3 Ir 2.92
5 Nd 0.4014 0.4014 0.7957  3 Ir 2.92
6 Nd 0.4014 0.7957 0.4014  3 Ir 2.92
7 Nd 0.5595 0.5595 0.9405  2 Ir 2.90
8 Nd 0.5595 0.9405 0.5595  2 Ir 2.90
9 Nd 0.5595 0.9405 0.9405  2 Ir 2.90
10 Nd 0.7957 0.4014 0.4014  3 Ir 2.92
11 Nd 0.8110 0.1890 0.1890  2 Cd 3.40, 2 Ir 3.58, 10 Nd 3.58-3.76
12 Nd 0.8110 0.1890 0.8110  2 Cd 3.40, 2 Ir 3.58, 10 Nd 3.58-3.76
13 Nd 0.8110 0.8110 0.1890  2 Cd 3.40, 2 Ir 3.58, 10 Nd 3.58-3.76
14 Nd 0.9405 0.5595 0.5595  2 Ir 2.90
15 Nd 0.9405 0.5595 0.9405  2 Ir 2.90
16 Nd 0.9405 0.9405 0.5595  2 Ir 2.90
17 Cd 0.1701 0.1701 0.1701  3 Cd 3.18, 6 Nd 3.40-3.56
18 Cd 0.1701 0.1701 0.4897  3 Cd 3.18, 6 Nd 3.40-3.56
19 Cd 0.1701 0.4897 0.1701  3 Cd 3.18, 6 Nd 3.40-3.56
20 Cd 0.4897 0.1701 0.1701  3 Cd 3.18, 6 Nd 3.40-3.56
21 Ir 0.1750 0.6083 0.6083  6 Nd 2.90-2.92
22 Ir 0.6083 0.1750 0.6083  6 Nd 2.90-2.92
23 Ir 0.6083 0.6083 0.1750  6 Nd 2.90-2.92
24 Ir 0.6083 0.6083 0.6083  6 Nd 2.90-2.92

(8)
A relaxed K2DySbSe4 crystal. Source: Alexandria via LeMat-Bulk, functional PBE.

Properties
Raw total energy (Ry/atom): -0.317
Formation energy without anion corrections (eV/f.u.): -9.64
Crystal system: orthorhombic
Theoretical density (g/cm3): 4.8

a b c (Å): 8.7366 8.7366 8.7366
angles (deg): 120.37 119.68 89.96
Last column: nearest neighbours and their distance in Å.
Positions (direct):
1 K 0.0000 0.0000 0.0000  6 Se 3.25-3.26
2 K 0.5000 0.0000 0.0000  6 Se 3.28
3 K 0.5000 0.0000 0.5000  6 Se 3.25-3.26
4 K 0.5000 0.5000 0.5000  6 Se 3.28
5 Dy 0.0000 0.0000 0.5000  6 Se 2.91-2.92
6 Dy 0.0000 0.5000 0.0000  6 Se 2.91-2.92
7 Sb 0.0000 0.5000 0.5000  6 Se 2.94
8 Sb 0.5000 0.5000 0.0000  6 Se 2.94
9 Se 0.2078 0.7367 0.4712  2 Dy 2.92, 1 Sb 2.94, 1 K 3.26
10 Se 0.2345 0.2633 0.9712  2 Dy 2.92, 1 Sb 2.94, 1 K 3.26
11 Se 0.2348 0.2598 0.5250  1 Dy 2.91, 2 Sb 2.94, 2 K 3.25
12 Se 0.2348 0.7098 0.9750  1 Dy 2.91, 2 Sb 2.94, 2 K 3.25
13 Se 0.7652 0.2902 0.0250  1 Dy 2.91, 2 Sb 2.94, 2 K 3.25
14 Se 0.7652 0.7402 0.4750  1 Dy 2.91, 2 Sb 2.94, 2 K 3.25
15 Se 0.7655 0.7367 0.0288  2 Dy 2.92, 1 Sb 2.94, 1 K 3.26
16 Se 0.7922 0.2633 0.5288  2 Dy 2.92, 1 Sb 2.94, 1 K 3.26